This record from Alexandria via LeMat-Bulk describes a relaxed structure of SmNbTl2O6. The functional is PBE.

Values from the calculation:
The calculation puts the uncorrected formation energy at -18.15 eV/f.u.

Unit cell a=6.120 b=6.120 c=6.120 alpha=60.00 beta=60.00 gamma=60.00
Positions (direct):
1 Sm 0.000 0.000 0.000
2 Nb 0.500 0.500 0.500
3 Tl 0.250 0.250 0.250
4 Tl 0.750 0.750 0.750
5 O 0.268 0.268 0.732
6 O 0.268 0.732 0.268
7 O 0.268 0.732 0.732
8 O 0.732 0.268 0.268
9 O 0.732 0.268 0.732
10 O 0.732 0.732 0.268


This record from Alexandria via LeMat-Bulk describes a relaxed structure of CaPd2IF. The functional is PBE.

Values from the calculation:
The calculation puts the uncorrected formation energy at -2.81 eV/f.u.

Unit cell a=4.395 b=4.395 c=5.713 alpha=90.00 beta=90.00 gamma=90.00
Positions (direct):
1 Ca 0.000 0.000 0.000
2 Pd 0.000 0.500 0.500
3 Pd 0.500 0.000 0.500
4 I 0.500 0.500 0.000
5 F 0.500 0.500 0.500


This record from Alexandria via LeMat-Bulk describes a relaxed structure of KPuWN4. The functional is PBE.

Values from the calculation:
The calculation puts the uncorrected formation energy at -3.43 eV/f.u.

Unit cell a=5.941 b=5.878 c=8.139 alpha=90.00 beta=107.45 gamma=90.00
Positions (direct):
1 K 0.134 0.250 0.139
2 K 0.866 0.750 0.861
3 Pu 0.290 0.750 0.461
4 Pu 0.710 0.250 0.539
5 W 0.255 0.250 0.663
6 W 0.745 0.750 0.337
7 N 0.016 0.250 0.775
8 N 0.034 0.250 0.449
9 N 0.465 0.008 0.661
10 N 0.465 0.492 0.661
11 N 0.535 0.508 0.339
12 N 0.535 0.992 0.339
13 N 0.966 0.750 0.551
14 N 0.984 0.750 0.225


This record from Alexandria via LeMat-Bulk describes a relaxed structure of Ba2CoBTe. The functional is PBE.

Values from the calculation:
The calculation puts the uncorrected formation energy at 2.53 eV/f.u.

Unit cell a=5.891 b=5.891 c=4.595 alpha=90.00 beta=90.00 gamma=90.00
Positions (direct):
1 Ba 0.000 0.500 0.000
2 Ba 0.500 0.000 0.000
3 Co 0.000 0.000 0.500
4 B 0.500 0.500 0.000
5 Te 0.500 0.500 0.500


This record from Alexandria via LeMat-Bulk describes a relaxed structure of Ca2HfBeSi. The functional is PBE.

Values from the calculation:
The calculation puts the uncorrected formation energy at 6.94 eV/f.u.

Unit cell a=5.760 b=5.760 c=4.590 alpha=90.00 beta=90.00 gamma=90.00
Positions (direct):
1 Ca 0.000 0.500 0.000
2 Ca 0.500 0.000 0.000
3 Hf 0.000 0.000 0.000
4 Be 0.000 0.000 0.500
5 Si 0.500 0.500 0.500


This record from Alexandria via LeMat-Bulk describes a relaxed structure of Na2TmBr5. The functional is PBE.

Values from the calculation:
The calculation puts the uncorrected formation energy at -13.33 eV/f.u. The energy above the most stable polymorph in this dataset comes out at 0.015 eV/atom.

Unit cell a=12.764 b=8.660 c=8.276 alpha=90.00 beta=90.00 gamma=90.00
Positions (direct):
1 Na 0.175 0.007 0.029
2 Na 0.175 0.493 0.029
3 Na 0.325 0.507 0.529
4 Na 0.325 0.993 0.529
5 Na 0.675 0.007 0.471
6 Na 0.675 0.493 0.471
7 Na 0.825 0.507 0.971
8 Na 0.825 0.993 0.971
9 Tm 0.008 0.750 0.581
10 Tm 0.492 0.250 0.081
11 Tm 0.508 0.750 0.919
12 Tm 0.992 0.250 0.419
13 Br 0.015 0.750 0.935
14 Br 0.083 0.046 0.662
15 Br 0.083 0.454 0.662
16 Br 0.183 0.750 0.371
17 Br 0.203 0.250 0.320
18 Br 0.297 0.750 0.820
19 Br 0.317 0.250 0.871
20 Br 0.417 0.546 0.162
21 Br 0.417 0.954 0.162
22 Br 0.485 0.250 0.435
23 Br 0.515 0.750 0.565
24 Br 0.583 0.046 0.838
25 Br 0.583 0.454 0.838
26 Br 0.683 0.750 0.129
27 Br 0.703 0.250 0.180
28 Br 0.797 0.750 0.680
29 Br 0.817 0.250 0.629
30 Br 0.917 0.546 0.338
31 Br 0.917 0.954 0.338
32 Br 0.985 0.250 0.065


This record from Alexandria via LeMat-Bulk describes a relaxed structure of ScMn2Fe. The functional is PBE.

Values from the calculation:
The calculation puts the formation energy at 0.201 eV/atom. The energy above the most stable polymorph in this dataset comes out at 0.105 eV/atom.

Unit cell a=4.749 b=4.749 c=4.749 alpha=130.72 beta=130.72 gamma=72.25
Positions (direct):
1 Sc 0.000 0.000 0.000
2 Mn 0.250 0.750 0.500
3 Mn 0.750 0.250 0.500
4 Fe 0.500 0.500 0.000


This record from Alexandria via LeMat-Bulk describes a relaxed structure of MnBi3Br. The functional is PBE.

Values from the calculation:
The calculation puts the uncorrected formation energy at 5.43 eV/f.u. The energy above the most stable polymorph in this dataset comes out at 0.831 eV/atom.

Unit cell a=5.693 b=5.693 c=5.693 alpha=90.00 beta=90.00 gamma=90.00
Positions (direct):
1 Mn 0.000 0.000 0.000
2 Bi 0.000 0.500 0.500
3 Bi 0.500 0.000 0.500
4 Bi 0.500 0.500 0.000
5 Br 0.500 0.500 0.500


This record from Alexandria via LeMat-Bulk describes a relaxed structure of NpGaMo. The functional is PBE.

Values from the calculation:
The calculation puts the formation energy at 0.611 eV/atom. The energy above the most stable polymorph in this dataset comes out at 0.390 eV/atom.

Unit cell a=6.191 b=6.191 c=3.648 alpha=90.00 beta=90.00 gamma=93.08
Positions (direct):
1 Np 0.211 0.211 0.000
2 Np 0.789 0.789 0.000
3 Ga 0.285 0.715 0.500
4 Ga 0.715 0.285 0.500
5 Mo 0.000 0.000 0.500
6 Mo 0.500 0.500 0.000


This record from Alexandria via LeMat-Bulk describes a relaxed structure of FeCuTc2Bi. The functional is PBE.

Values from the calculation:
The calculation puts the formation energy at 1.460 eV/atom.

Unit cell a=4.563 b=4.563 c=4.357 alpha=90.00 beta=90.00 gamma=90.00
Positions (direct):
1 Fe 0.000 0.000 0.000
2 Cu 0.000 0.000 0.500
3 Tc 0.000 0.500 0.500
4 Tc 0.500 0.000 0.500
5 Bi 0.500 0.500 0.000


This record from Alexandria via LeMat-Bulk describes a relaxed structure of SrGa6S8. The functional is PBE.

Values from the calculation:
The calculation puts the uncorrected formation energy at -9.23 eV/f.u.

Unit cell a=6.888 b=6.888 c=6.888 alpha=94.31 beta=94.31 gamma=94.31
Positions (direct):
1 Sr 0.000 0.000 0.000
2 Ga 0.126 0.388 0.596
3 Ga 0.388 0.596 0.126
4 Ga 0.404 0.874 0.612
5 Ga 0.596 0.126 0.388
6 Ga 0.612 0.404 0.874
7 Ga 0.874 0.612 0.404
8 S 0.181 0.791 0.324
9 S 0.209 0.676 0.819
10 S 0.314 0.314 0.314
11 S 0.324 0.181 0.791
12 S 0.676 0.819 0.209
13 S 0.686 0.686 0.686
14 S 0.791 0.324 0.181
15 S 0.819 0.209 0.676


This record from Alexandria via LeMat-Bulk describes a relaxed structure of NdDy3Ru. The functional is PBE.

Values from the calculation:
The calculation puts the formation energy at -0.135 eV/atom. The energy above the most stable polymorph in this dataset comes out at 0.038 eV/atom.

Unit cell a=7.654 b=6.432 c=6.251 alpha=90.00 beta=90.00 gamma=90.00
Positions (direct):
1 Nd 0.000 0.151 0.000
2 Nd 0.500 0.849 0.500
3 Dy 0.000 0.840 0.488
4 Dy 0.249 0.324 0.494
5 Dy 0.251 0.676 0.994
6 Dy 0.500 0.160 0.988
7 Dy 0.749 0.676 0.994
8 Dy 0.751 0.324 0.494
9 Ru 0.000 0.504 0.742
10 Ru 0.500 0.496 0.242


This record from Alexandria via LeMat-Bulk describes a relaxed structure of Sr5Si2Ge5. The functional is PBE.

Values from the calculation:
The calculation puts the uncorrected formation energy at -5.41 eV/f.u.

Unit cell a=8.368 b=8.368 c=12.060 alpha=123.27 beta=123.27 gamma=27.91
Positions (direct):
1 Sr 0.000 0.000 0.000
2 Sr 0.310 0.310 0.417
3 Sr 0.377 0.377 0.178
4 Sr 0.623 0.623 0.822
5 Sr 0.690 0.690 0.583
6 Si 0.382 0.382 0.745
7 Si 0.618 0.618 0.255
8 Ge 0.000 0.000 0.500
9 Ge 0.070 0.070 0.326
10 Ge 0.301 0.301 0.864
11 Ge 0.699 0.699 0.136
12 Ge 0.930 0.930 0.674


This record from Alexandria via LeMat-Bulk describes a relaxed structure of YTa2Tc. The functional is PBE.

Values from the calculation:
The calculation puts the formation energy at 0.042 eV/atom. The energy above the most stable polymorph in this dataset comes out at 0.000 eV/atom.

Unit cell a=3.233 b=3.233 c=7.559 alpha=90.00 beta=90.00 gamma=90.00
Positions (direct):
1 Y 0.000 0.000 0.000
2 Ta 0.000 0.000 0.545
3 Ta 0.500 0.500 0.308
4 Tc 0.500 0.500 0.730


This record from Alexandria via LeMat-Bulk describes a relaxed structure of LaZr2Cu. The functional is PBE.

Values from the calculation:
The calculation puts the formation energy at 0.235 eV/atom. The energy above the most stable polymorph in this dataset comes out at 0.263 eV/atom.

Unit cell a=5.065 b=5.065 c=5.065 alpha=60.00 beta=60.00 gamma=60.00
Positions (direct):
1 La 0.000 0.000 0.000
2 Zr 0.250 0.250 0.250
3 Zr 0.500 0.500 0.500
4 Cu 0.750 0.750 0.750


This record from Alexandria via LeMat-Bulk describes a relaxed structure of BaMnPS2. The functional is PBE.

Values from the calculation:
The calculation puts the uncorrected formation energy at -3.79 eV/f.u. The energy above the most stable polymorph in this dataset comes out at 0.000 eV/atom.

Unit cell a=4.934 b=4.934 c=4.467 alpha=90.00 beta=90.00 gamma=90.00
Positions (direct):
1 Ba 0.000 0.000 0.000
2 Mn 0.500 0.500 0.500
3 P 0.500 0.500 0.000
4 S 0.000 0.500 0.500
5 S 0.500 0.000 0.500


This record from Alexandria via LeMat-Bulk describes a relaxed structure of Mg2In. The functional is PBE.

Values from the calculation:
The calculation puts the formation energy at 0.094 eV/atom.

Unit cell a=4.937 b=4.937 c=3.364 alpha=90.00 beta=90.00 gamma=90.00
Positions (direct):
1 Mg 0.000 0.500 0.000
2 Mg 0.500 0.000 0.000
3 In 0.000 0.000 0.500


This record from Alexandria via LeMat-Bulk describes a relaxed structure of Tb6InSi2Te3. The functional is PBE.

Values from the calculation:
The calculation puts the uncorrected formation energy at -11.96 eV/f.u.

Unit cell a=9.712 b=9.712 c=8.776 alpha=104.84 beta=104.84 gamma=25.26
Positions (direct):
1 Tb 0.009 0.009 0.257
2 Tb 0.326 0.326 0.436
3 Tb 0.331 0.331 0.894
4 Tb 0.669 0.669 0.106
5 Tb 0.674 0.674 0.564
6 Tb 0.991 0.991 0.743
7 In 0.500 0.500 0.000
8 Si 0.167 0.167 0.333
9 Si 0.833 0.833 0.667
10 Te 0.164 0.164 0.830
11 Te 0.500 0.500 0.500
12 Te 0.836 0.836 0.170


This record from Alexandria via LeMat-Bulk describes a relaxed structure of SrTi3Cr. The functional is PBE.

Values from the calculation:
The calculation puts the formation energy at 0.540 eV/atom. The energy above the most stable polymorph in this dataset comes out at 0.000 eV/atom.

Unit cell a=4.763 b=4.763 c=4.763 alpha=90.00 beta=90.00 gamma=90.00
Positions (direct):
1 Sr 0.000 0.000 0.000
2 Ti 0.000 0.500 0.500
3 Ti 0.500 0.000 0.500
4 Ti 0.500 0.500 0.000
5 Cr 0.500 0.500 0.500


This record from Alexandria via LeMat-Bulk describes a relaxed structure of MgTiNb2N. The functional is PBE.

Values from the calculation:
The calculation puts the uncorrected formation energy at -2.37 eV/f.u.

Unit cell a=4.385 b=4.385 c=4.054 alpha=90.00 beta=90.00 gamma=90.00
Positions (direct):
1 Mg 0.000 0.000 0.000
2 Ti 0.500 0.500 0.000
3 Nb 0.000 0.500 0.500
4 Nb 0.500 0.000 0.500
5 N 0.500 0.500 0.500


Number 1: DOS(E_F) 0.832 states/eV/atom. Number 2: DOS(E_F) 0.414 states/eV/atom. Number 3: DOS(E_F) 0.995 states/eV/atom. Number 4: DOS(E_F) 1.063 states/eV/atom. Number 5: DOS(E_F) 1.159 states/eV/atom. Number 6: DOS(E_F) 0.000 states/eV/atom. Number 7: DOS(E_F) 1.078 states/eV/atom. Number 8: DOS(E_F) 1.267 states/eV/atom. Number 9: DOS(E_F) 2.245 states/eV/atom. Number 10: DOS(E_F) 2.122 states/eV/atom. Number 11: DOS(E_F) 0.561 states/eV/atom. Number 12: DOS(E_F) 1.159 states/eV/atom. Number 13: DOS(E_F) 0.540 states/eV/atom. Number 14: DOS(E_F) 0.878 states/eV/atom. Number 15: DOS(E_F) 1.452 states/eV/atom. Number 16: DOS(E_F) 0.482 states/eV/atom. Number 17: DOS(E_F) 0.490 states/eV/atom. Number 18: DOS(E_F) 0.502 states/eV/atom. Number 19: DOS(E_F) 1.475 states/eV/atom. Number 20: DOS(E_F) 0.953 states/eV/atom.